1.
## Pr2NdGa2Cu2 (PBE)

Data for Pr2NdGa2Cu2 after structural relaxation.

Output
V (A^3/atom): 23.539
DFT formation energy (eV/atom): -0.367
SG: R-3m

Cell lengths 4.463, 4.463, 9.894 Å; angles 76.97, 76.97, 60.00 degrees
Sites, in units of the cell vectors:
Cu1 0.603 0.603 0.190
Pr1 0.124 0.124 0.627
Cu2 0.397 0.397 0.810
Ga1 0.266 0.266 0.202
Nd1 0.000 0.000 0.000
Pr2 0.876 0.876 0.373
Ga2 0.734 0.734 0.798


2.
## NdGa4Cu2Pt (PBE)

Data for NdGa4Cu2Pt after structural relaxation.

Output
V (A^3/atom): 17.548
DFT formation energy (eV/atom): -0.418
SG: R-3m

Cell lengths 4.218, 4.218, 9.430 Å; angles 77.08, 77.08, 60.00 degrees
Sites, in units of the cell vectors:
Ga1 0.598 0.598 0.206
Nd1 0.000 0.000 0.000
Cu1 0.754 0.754 0.737
Pt1 0.500 0.500 0.500
Cu2 0.246 0.246 0.263
Ga2 0.872 0.872 0.383
Ga3 0.402 0.402 0.794
Ga4 0.128 0.128 0.617


Which of these has the highest DFT formation energy?
Pr2NdGa2Cu2


The lowest V belongs to which entry?
NdGa4Cu2Pt


Repeat the first record exactly.
## Pr2NdGa2Cu2 (PBE)

Data for Pr2NdGa2Cu2 after structural relaxation.

Output
V (A^3/atom): 23.539
DFT formation energy (eV/atom): -0.367
SG: R-3m

Cell lengths 4.463, 4.463, 9.894 Å; angles 76.97, 76.97, 60.00 degrees
Sites, in units of the cell vectors:
Cu1 0.603 0.603 0.190
Pr1 0.124 0.124 0.627
Cu2 0.397 0.397 0.810
Ga1 0.266 0.266 0.202
Nd1 0.000 0.000 0.000
Pr2 0.876 0.876 0.373
Ga2 0.734 0.734 0.798


Which formula does entry 1 have?
Pr2NdGa2Cu2